## La4Sn3Pd (PBE-GGA)

Data for crystalline La4Sn3Pd at its relaxed geometry. Values from VASP.

```
&SYSTEM
  ibrav = 0, nat = 8, ntyp = 3
/
ATOMIC_SPECIES
La 138.91 La.upf
Sn 118.71 Sn.upf
Pd 106.42 Pd.upf
CELL_PARAMETERS angstrom
4.5618 0.0000 0.0000
0.0000 4.5975 0.0000
0.0000 0.0000 11.7580
ATOMIC_POSITIONS angstrom
La 0.0000 0.0000 0.0000
La 0.0000 2.2987 5.5330
La 2.2809 0.0000 8.2995
La 2.2809 2.2987 2.5062
Sn 0.0000 2.2987 8.9208
Sn 2.2809 0.0000 4.9734
Sn 2.2809 2.2987 10.9686
Pd 0.0000 0.0000 3.1471
```

energy: -5.381 eV/atom
D(E_F): 8.5 states/eV per cell

---

## LaSn3Pd (PBE-GGA)

Data for crystalline LaSn3Pd at its relaxed geometry. Values from VASP.

```
&SYSTEM
  ibrav = 0, nat = 10, ntyp = 3
/
ATOMIC_SPECIES
La 138.91 La.upf
Sn 118.71 Sn.upf
Pd 106.42 Pd.upf
CELL_PARAMETERS angstrom
6.7769 0.0000 0.0000
0.0000 6.1206 0.0000
0.0000 0.0000 6.3367
ATOMIC_POSITIONS angstrom
La 0.0000 0.8508 0.0000
La 3.3885 5.2697 3.1683
Sn 0.0000 5.5489 3.4377
Sn 1.6410 1.9912 2.7531
Sn 1.7475 4.1294 5.9214
Sn 3.3885 0.5717 0.2694
Sn 5.0294 4.1294 5.9214
Sn 5.1360 1.9912 2.7531
Pd 0.0000 3.7327 1.5283
Pd 3.3885 2.3879 4.6966
```

energy: -5.056 eV/atom
D(E_F): 4.7 states/eV per cell

---

## La2Sn2Pd15 (PBE-GGA)

Data for crystalline La2Sn2Pd15 at its relaxed geometry. Values from VASP.

```
&SYSTEM
  ibrav = 0, nat = 19, ntyp = 3
/
ATOMIC_SPECIES
La 138.91 La.upf
Sn 118.71 Sn.upf
Pd 106.42 Pd.upf
CELL_PARAMETERS angstrom
4.6462 2.6825 4.6406
-4.6462 2.6825 4.6406
0.0000 -5.3650 4.6406
ATOMIC_POSITIONS angstrom
La 0.0000 0.0000 2.0566
La 0.0000 0.0000 11.8651
Sn 0.0000 0.0000 5.4876
Sn 0.0000 0.0000 8.4342
Pd -2.3231 -1.3412 4.6406
Pd 0.0000 -2.7142 4.4567
Pd -2.3505 1.3571 4.4567
Pd -1.4198 -2.4592 6.9609
Pd -2.8397 0.0000 6.9609
Pd -2.3505 -1.3571 9.4651
Pd -2.3231 1.3412 9.2812
Pd 1.4198 -2.4592 6.9609
Pd 0.0000 2.6825 4.6406
Pd -1.4198 2.4592 6.9609
Pd 2.3505 1.3571 4.4567
Pd 2.8397 0.0000 6.9609
Pd 1.4198 2.4592 6.9609
Pd 2.3505 -1.3571 9.4651
Pd 0.0000 2.7142 9.4651
```

energy: -5.481 eV/atom
D(E_F): 19.9 states/eV per cell

---

## LaSn2Pd9 (PBE-GGA)

Data for crystalline LaSn2Pd9 at its relaxed geometry. Values from VASP.

```
&SYSTEM
  ibrav = 0, nat = 12, ntyp = 3
/
ATOMIC_SPECIES
La 138.91 La.upf
Sn 118.71 Sn.upf
Pd 106.42 Pd.upf
CELL_PARAMETERS angstrom
4.1257 0.0000 0.0000
0.0000 4.1257 0.0000
0.0000 0.0000 12.2002
ATOMIC_POSITIONS angstrom
La 0.0000 0.0000 0.0000
Sn 0.0000 0.0000 4.1278
Sn 0.0000 0.0000 8.0723
Pd 0.0000 2.0629 2.1860
Pd 0.0000 2.0629 6.1001
Pd 0.0000 2.0629 10.0142
Pd 2.0629 0.0000 2.1860
Pd 2.0629 0.0000 6.1001
Pd 2.0629 0.0000 10.0142
Pd 2.0629 2.0629 0.0000
Pd 2.0629 2.0629 4.1449
Pd 2.0629 2.0629 8.0552
```

energy: -5.563 eV/atom
D(E_F): 3.2 states/eV per cell

---

## LaSnPd (PBE-GGA)

Data for crystalline LaSnPd at its relaxed geometry. Values from VASP.

```
&SYSTEM
  ibrav = 0, nat = 12, ntyp = 3
/
ATOMIC_SPECIES
La 138.91 La.upf
Sn 118.71 Sn.upf
Pd 106.42 Pd.upf
CELL_PARAMETERS angstrom
7.6743 0.0000 0.0000
0.0000 4.7965 0.0000
0.0000 0.0000 8.0483
ATOMIC_POSITIONS angstrom
La 0.1225 1.1991 1.6088
La 3.7147 3.5973 5.6329
La 3.9596 1.1991 2.4154
La 7.5519 3.5973 6.4396
Sn 1.4121 1.1991 4.7221
Sn 2.4250 3.5973 0.6980
Sn 5.2493 1.1991 7.3504
Sn 6.2622 3.5973 3.3262
Pd 1.5411 3.5973 3.3398
Pd 2.2960 1.1991 7.3640
Pd 5.3783 3.5973 0.6844
Pd 6.1332 1.1991 4.7085
```

energy: -5.632 eV/atom
D(E_F): 10.7 states/eV per cell

---

## LaSnPd5 (PBE-GGA)

Data for crystalline LaSnPd5 at its relaxed geometry. Values from VASP.

```
&SYSTEM
  ibrav = 0, nat = 7, ntyp = 3
/
ATOMIC_SPECIES
La 138.91 La.upf
Sn 118.71 Sn.upf
Pd 106.42 Pd.upf
CELL_PARAMETERS angstrom
4.2150 0.0000 0.0000
0.0000 4.2150 0.0000
0.0000 0.0000 7.5940
ATOMIC_POSITIONS angstrom
La 0.0000 0.0000 0.0000
Sn 2.1075 2.1075 3.7970
Pd 0.0000 2.1075 2.1330
Pd 0.0000 2.1075 5.4610
Pd 2.1075 0.0000 2.1330
Pd 2.1075 0.0000 5.4610
Pd 2.1075 2.1075 0.0000
```

energy: -5.628 eV/atom
D(E_F): 1.6 states/eV per cell

---

## La2Sn3Pd (PBE-GGA)

Data for crystalline La2Sn3Pd at its relaxed geometry. Values from VASP.

```
&SYSTEM
  ibrav = 0, nat = 6, ntyp = 3
/
ATOMIC_SPECIES
La 138.91 La.upf
Sn 118.71 Sn.upf
Pd 106.42 Pd.upf
CELL_PARAMETERS angstrom
4.3064 0.0000 0.0000
0.0000 4.8297 0.0000
0.0000 0.0000 8.0492
ATOMIC_POSITIONS angstrom
La 0.0000 0.0000 0.0000
La 0.0000 2.4149 3.9761
Sn 2.1532 0.0000 5.1498
Sn 2.1532 2.4149 1.4379
Sn 2.1532 2.4149 6.6573
Pd 2.1532 0.0000 2.5050
```

ΔE to the lowest computed polymorph: 15.1 meV per atom
D(E_F): 3.2 states/eV per cell

---

## La3Sn2Pd7 (PBE-GGA)

Data for crystalline La3Sn2Pd7 at its relaxed geometry. Values from VASP.

```
&SYSTEM
  ibrav = 0, nat = 12, ntyp = 3
/
ATOMIC_SPECIES
La 138.91 La.upf
Sn 118.71 Sn.upf
Pd 106.42 Pd.upf
CELL_PARAMETERS angstrom
-2.1173 2.1173 14.7242
2.1173 -2.1173 14.7242
2.1173 2.1173 -14.7242
ATOMIC_POSITIONS angstrom
La 0.0000 0.0000 0.0000
La 0.0000 0.0000 5.2745
La 0.0000 0.0000 24.1739
Sn 0.0000 0.0000 11.0066
Sn 0.0000 0.0000 18.4418
Pd 2.1173 0.0000 2.1344
Pd 0.0000 0.0000 8.2516
Pd 2.1173 0.0000 12.5898
Pd 0.0000 0.0000 14.7242
Pd 0.0000 2.1173 2.1344
Pd 0.0000 0.0000 21.1967
Pd 0.0000 2.1173 12.5898
```

ΔE to the lowest computed polymorph: 0.0 meV per atom
D(E_F): 7.8 states/eV per cell

---

## LaSn12Pd4 (PBE-GGA)

Data for crystalline LaSn12Pd4 at its relaxed geometry. Values from VASP.

```
&SYSTEM
  ibrav = 0, nat = 17, ntyp = 3
/
ATOMIC_SPECIES
La 138.91 La.upf
Sn 118.71 Sn.upf
Pd 106.42 Pd.upf
CELL_PARAMETERS angstrom
-4.7545 4.7545 4.7545
4.7545 -4.7545 4.7545
4.7545 4.7545 -4.7545
ATOMIC_POSITIONS angstrom
La 0.0000 0.0000 0.0000
Sn 3.2730 1.5184 0.0000
Sn 6.2359 1.5184 0.0000
Sn 4.7545 -1.4815 3.2360
Sn 3.2360 4.7545 -1.4815
Sn 1.5184 0.0000 3.2730
Sn 4.7545 1.4815 3.2360
Sn 0.0000 3.2730 1.5184
Sn 3.2360 4.7545 1.4815
Sn 1.5184 0.0000 6.2359
Sn 0.0000 6.2359 1.5184
Sn -1.4815 3.2360 4.7545
Sn 1.4815 3.2360 4.7545
Pd 2.3772 2.3772 -2.3772
Pd 2.3772 -2.3772 2.3772
Pd -2.3772 2.3772 2.3772
Pd 2.3772 2.3772 2.3772
```

energy: -4.707 eV/atom
D(E_F): 9.9 states/eV per cell

---

## LaSnPd6 (PBE-GGA)

Data for crystalline LaSnPd6 at its relaxed geometry. Values from VASP.

```
&SYSTEM
  ibrav = 0, nat = 8, ntyp = 3
/
ATOMIC_SPECIES
La 138.91 La.upf
Sn 118.71 Sn.upf
Pd 106.42 Pd.upf
CELL_PARAMETERS angstrom
4.1755 0.0000 0.0000
0.0000 4.1755 0.0000
0.0000 0.0000 8.1410
ATOMIC_POSITIONS angstrom
La 0.0000 0.0000 0.0000
Sn 0.0000 0.0000 4.0705
Pd 0.0000 2.0877 2.1622
Pd 0.0000 2.0877 5.9788
Pd 2.0877 0.0000 2.1622
Pd 2.0877 0.0000 5.9788
Pd 2.0877 2.0877 0.0000
Pd 2.0877 2.0877 4.0705
```

ΔE to the lowest computed polymorph: 0.0 meV per atom
D(E_F): 1.5 states/eV per cell

---

## LaSnPd (PBE-GGA)

Data for crystalline LaSnPd at its relaxed geometry. Values from VASP.

```
&SYSTEM
  ibrav = 0, nat = 6, ntyp = 3
/
ATOMIC_SPECIES
La 138.91 La.upf
Sn 118.71 Sn.upf
Pd 106.42 Pd.upf
CELL_PARAMETERS angstrom
4.0695 0.0000 0.0000
0.0000 4.0695 0.0000
0.0000 0.0000 9.5695
ATOMIC_POSITIONS angstrom
La 0.0000 0.0000 0.0000
La 2.0348 2.0348 4.7848
Sn 0.0000 0.0000 6.4753
Sn 2.0348 2.0348 1.6905
Pd 0.0000 0.0000 3.5761
Pd 2.0348 2.0348 8.3608
```

energy: -5.221 eV/atom
D(E_F): 4.3 states/eV per cell

---

## LaSn2Pd2 (PBE-GGA)

Data for crystalline LaSn2Pd2 at its relaxed geometry. Values from VASP.

```
&SYSTEM
  ibrav = 0, nat = 10, ntyp = 3
/
ATOMIC_SPECIES
La 138.91 La.upf
Sn 118.71 Sn.upf
Pd 106.42 Pd.upf
CELL_PARAMETERS angstrom
8.3340 0.0000 0.0000
0.0000 8.3340 0.0000
0.0000 0.0000 3.1725
ATOMIC_POSITIONS angstrom
La 0.0000 0.0000 0.0000
La 4.1670 4.1670 0.0000
Sn 1.1475 3.0195 0.0000
Sn 3.0195 7.1865 0.0000
Sn 5.3145 1.1475 0.0000
Sn 7.1865 5.3145 0.0000
Pd 1.2733 5.4403 1.5863
Pd 2.8937 1.2733 1.5863
Pd 5.4403 7.0607 1.5863
Pd 7.0607 2.8937 1.5863
```

energy: -5.164 eV/atom
D(E_F): 6.8 states/eV per cell

---

## La3SnPd (PBE-GGA)

Data for crystalline La3SnPd at its relaxed geometry. Values from VASP.

```
&SYSTEM
  ibrav = 0, nat = 20, ntyp = 3
/
ATOMIC_SPECIES
La 138.91 La.upf
Sn 118.71 Sn.upf
Pd 106.42 Pd.upf
CELL_PARAMETERS angstrom
6.5638 -5.7226 0.0000
6.5638 5.7226 0.0000
-0.0049 0.0000 8.5233
ATOMIC_POSITIONS angstrom
La 1.2945 1.0499 3.5065
La 3.2764 1.9923 6.9222
La 1.2920 -1.0499 7.7681
La 5.2216 1.0414 3.5085
La 3.2788 -1.9923 2.6606
La 5.2191 -1.0414 7.7702
La 7.9036 1.0414 0.7531
La 9.8439 1.9923 5.8627
La 7.9011 -1.0414 5.0148
La 11.8307 1.0499 0.7552
La 9.8463 -1.9923 1.6011
La 11.8282 -1.0499 5.0168
Sn 6.5626 3.8527 2.1308
Sn 6.5601 1.8344 6.3925
Sn 6.5626 -1.8344 2.1308
Sn 6.5601 -3.8527 6.3925
Pd 3.2424 0.6779 1.0853
Pd 3.2399 -0.6779 5.3469
Pd 9.8828 0.6779 3.1764
Pd 9.8804 -0.6779 7.4380
```

ΔE to the lowest computed polymorph: 0.0 meV per atom
D(E_F): 21.4 states/eV per cell

---

## La3Sn2Pd7 (PBE-GGA)

Data for crystalline La3Sn2Pd7 at its relaxed geometry. Values from VASP.

```
&SYSTEM
  ibrav = 0, nat = 12, ntyp = 3
/
ATOMIC_SPECIES
La 138.91 La.upf
Sn 118.71 Sn.upf
Pd 106.42 Pd.upf
CELL_PARAMETERS angstrom
4.3237 0.0000 0.0000
0.0000 4.1058 0.0000
-1.9352 0.0000 15.5160
ATOMIC_POSITIONS angstrom
La 0.0000 0.0000 0.0000
La 0.1153 0.0000 6.3013
La 2.2732 0.0000 9.2147
Sn 0.0932 2.0529 12.9146
Sn 2.2953 2.0529 2.6014
Pd 0.1316 2.0529 4.1992
Pd 0.1108 2.0529 8.9804
Pd 0.1000 0.0000 11.1934
Pd 2.1619 2.0529 0.0000
Pd 2.2885 0.0000 4.3226
Pd 2.2777 2.0529 6.5356
Pd 2.2569 2.0529 11.3168
```

ΔE to the lowest computed polymorph: 62.6 meV per atom
D(E_F): 5.3 states/eV per cell

---

## La6SnPd2 (PBE-GGA)

Data for crystalline La6SnPd2 at its relaxed geometry. Values from VASP.

```
&SYSTEM
  ibrav = 0, nat = 18, ntyp = 3
/
ATOMIC_SPECIES
La 138.91 La.upf
Sn 118.71 Sn.upf
Pd 106.42 Pd.upf
CELL_PARAMETERS angstrom
-4.8594 5.2697 5.4778
4.8594 -5.2697 5.4778
4.8594 5.2697 -5.4778
ATOMIC_POSITIONS angstrom
La 4.8594 3.1810 -2.9203
La 2.7976 1.9349 0.0000
La 6.9212 1.9349 0.0000
La 1.9401 5.2697 -1.9147
La 2.9193 0.0000 3.5632
La 0.0000 2.0887 2.5575
La 4.8594 3.1810 2.9203
La 1.9401 5.2697 1.9147
La 2.9193 0.0000 7.3925
La -2.0618 3.3348 5.4778
La 2.0618 3.3348 5.4778
La 0.0000 2.0887 8.3981
Sn 0.0000 0.0000 0.0000
Sn 0.0000 0.0000 5.4778
Pd 4.8594 0.0000 1.4116
Pd 0.0000 3.7463 0.0000
Pd 0.0000 6.7931 0.0000
Pd 0.0000 5.2697 4.0663
```

energy: -5.421 eV/atom
D(E_F): 23.0 states/eV per cell

---

## LaSnPd (PBE-GGA)

Data for crystalline LaSnPd at its relaxed geometry. Values from VASP.

```
&SYSTEM
  ibrav = 0, nat = 24, ntyp = 3
/
ATOMIC_SPECIES
La 138.91 La.upf
Sn 118.71 Sn.upf
Pd 106.42 Pd.upf
CELL_PARAMETERS angstrom
4.7834 0.0000 0.0000
0.0000 15.3717 0.0000
0.0000 0.0000 8.1193
ATOMIC_POSITIONS angstrom
La 1.1959 0.0817 1.7122
La 1.1959 3.8429 2.3993
La 1.1959 7.6041 1.7122
La 1.1959 11.5288 2.3488
La 3.5876 3.8429 5.7704
La 3.5876 7.7676 6.4071
La 3.5876 11.5288 5.7199
La 3.5876 15.2900 6.4071
Sn 1.1959 1.5463 4.7841
Sn 1.1959 6.1396 4.7841
Sn 1.1959 10.0142 7.4095
Sn 1.1959 13.0433 7.4095
Sn 3.5876 2.3284 0.7098
Sn 3.5876 5.3575 0.7098
Sn 3.5876 9.2321 3.3352
Sn 3.5876 13.8254 3.3352
Pd 1.1959 2.1056 7.4836
Pd 1.1959 5.5802 7.4836
Pd 1.1959 9.1774 4.7314
Pd 1.1959 13.8802 4.7314
Pd 3.5876 1.4915 3.3879
Pd 3.5876 6.1944 3.3879
Pd 3.5876 9.7915 0.6356
Pd 3.5876 13.2661 0.6356
```

energy: -5.642 eV/atom
D(E_F): 13.0 states/eV per cell

---

## La6Sn3Pd (PBE-GGA)

Data for crystalline La6Sn3Pd at its relaxed geometry. Values from VASP.

```
&SYSTEM
  ibrav = 0, nat = 20, ntyp = 3
/
ATOMIC_SPECIES
La 138.91 La.upf
Sn 118.71 Sn.upf
Pd 106.42 Pd.upf
CELL_PARAMETERS angstrom
6.0368 -7.7867 0.0000
6.0368 7.7867 0.0000
0.0000 0.0000 7.7220
ATOMIC_POSITIONS angstrom
La 6.0368 7.7076 3.8610
La 4.1197 3.7593 7.0939
La 6.0368 3.9763 3.1380
La 3.9511 0.5622 3.0835
La 3.9511 -0.5622 6.9445
La 7.9539 3.7593 7.0939
La 4.1197 -3.7593 3.2329
La 8.1225 0.5622 3.0835
La 8.1225 -0.5622 6.9445
La 6.0368 -3.9763 6.9990
La 7.9539 -3.7593 3.2329
La 6.0368 -7.7076 0.0000
Sn 2.1382 1.7520 5.5647
Sn 2.1382 -1.7520 1.7036
Sn 6.0368 1.5573 0.7982
Sn 6.0368 -1.5573 4.6593
Sn 9.9354 1.7520 5.5647
Sn 9.9354 -1.7520 1.7036
Pd 6.0368 5.5029 5.7205
Pd 6.0368 -5.5029 1.8595
```

energy: -5.169 eV/atom
D(E_F): 25.9 states/eV per cell

---

## La2Sn3Pd2 (PBE-GGA)

Data for crystalline La2Sn3Pd2 at its relaxed geometry. Values from VASP.

```
&SYSTEM
  ibrav = 0, nat = 14, ntyp = 3
/
ATOMIC_SPECIES
La 138.91 La.upf
Sn 118.71 Sn.upf
Pd 106.42 Pd.upf
CELL_PARAMETERS angstrom
2.3242 -10.0673 0.0000
2.3242 10.0673 0.0000
0.0000 0.0000 7.5240
ATOMIC_POSITIONS angstrom
La 2.3242 9.1292 5.6430
La 2.3242 6.7949 1.8810
La 2.3242 -6.7949 5.6430
La 2.3242 -9.1292 1.8810
Sn 2.3242 5.7029 5.6430
Sn 2.3242 1.3878 4.1864
Sn 2.3242 1.3878 7.0995
Sn 2.3242 -1.3878 0.4244
Sn 2.3242 -1.3878 3.3376
Sn 2.3242 -5.7029 1.8810
Pd 2.3242 4.0520 0.3623
Pd 2.3242 4.0520 3.3997
Pd 2.3242 -4.0520 4.1242
Pd 2.3242 -4.0520 7.1617
```

energy: -5.429 eV/atom
D(E_F): 7.0 states/eV per cell

---

## La2SnPd6 (PBE-GGA)

Data for crystalline La2SnPd6 at its relaxed geometry. Values from VASP.

```
&SYSTEM
  ibrav = 0, nat = 9, ntyp = 3
/
ATOMIC_SPECIES
La 138.91 La.upf
Sn 118.71 Sn.upf
Pd 106.42 Pd.upf
CELL_PARAMETERS angstrom
5.8455 0.0000 0.0000
-2.9227 5.0623 0.0000
0.0000 0.0000 6.2112
ATOMIC_POSITIONS angstrom
La 0.0000 3.3749 1.8926
La 2.9227 1.6874 4.3186
Sn 0.0000 0.0000 3.1056
Pd 0.0000 1.7651 5.1002
Pd -1.3941 4.1798 5.1002
Pd 1.5286 0.8826 1.1111
Pd 1.3941 4.1798 5.1002
Pd 4.3169 0.8826 1.1111
Pd 2.9227 3.2972 1.1111
```

ΔE to the lowest computed polymorph: 0.0 meV per atom
D(E_F): 4.8 states/eV per cell

---

## LaSn2Pd2 (PBE-GGA)

Data for crystalline LaSn2Pd2 at its relaxed geometry. Values from VASP.

```
&SYSTEM
  ibrav = 0, nat = 10, ntyp = 3
/
ATOMIC_SPECIES
La 138.91 La.upf
Sn 118.71 Sn.upf
Pd 106.42 Pd.upf
CELL_PARAMETERS angstrom
0.0000 5.6677 7.1815
2.9410 0.0000 7.1815
2.9410 5.6677 0.0000
ATOMIC_POSITIONS angstrom
La 0.7353 1.4169 1.7954
La 5.1468 9.9184 12.5676
Sn 2.2058 1.9719 5.3861
Sn 3.6763 4.8057 8.9769
Sn 2.2058 6.5296 5.3861
Sn 3.6763 9.3634 8.9769
Pd 2.2058 4.2507 3.9643
Pd 2.2058 4.2507 6.8080
Pd 3.6763 7.0846 7.5550
Pd 3.6763 7.0846 10.3987
```

energy: -5.408 eV/atom
D(E_F): 6.6 states/eV per cell